1.
First-principles (PBE-GGA) data for a geometry-optimized OsW2SeI structure, as listed in Alexandria.

a b c (Å): 4.8747 4.8747 5.2540
angles (deg): 90.00 90.00 90.00
With the nearest neighbours (Å) after each atom.
Positions (direct):
Os1 0.0000 0.0000 0.0000  4 W 2.44, 2 I 2.63
W1 0.0000 0.5000 0.0000  2 Os 2.44
W2 0.5000 0.0000 0.0000  2 Os 2.44
Se1 0.5000 0.5000 0.5000  4 I 3.45, 8 W 3.58
I1 0.0000 0.0000 0.5000  2 Os 2.63

For the uncorrected formation energy, the calculation gives 196.8 kJ per mole of atoms. The value obtained for the density of states at the Fermi level is 5.3 states/eV per cell.

2.
First-principles (PBE-GGA) data for a geometry-optimized ZnOsSe2I structure, as listed in Alexandria.

a b c (Å): 5.5144 5.5144 4.9984
angles (deg): 90.00 90.00 90.00
With the nearest neighbours (Å) after each atom.
Positions (direct):
Zn1 0.0000 0.0000 0.0000  8 Se 3.72, 4 Os 3.90
Os1 0.5000 0.5000 0.0000  2 I 2.50
Se1 0.0000 0.5000 0.5000  2 I 2.76
Se2 0.5000 0.0000 0.5000  2 I 2.76
I1 0.5000 0.5000 0.5000  2 Os 2.50, 4 Se 2.76

For the uncorrected formation energy, the calculation gives 162.9 kJ per mole of atoms. The value obtained for the density of states at the Fermi level is 4.2 states/eV per cell.

3.
First-principles (PBE-GGA) data for a geometry-optimized SiOsI3 structure, as listed in Alexandria.

a b c (Å): 5.5772 5.5772 5.5772
angles (deg): 90.00 90.00 90.00
With the nearest neighbours (Å) after each atom.
Positions (direct):
Si1 0.0000 0.0000 0.0000  6 I 2.79
Os1 0.5000 0.5000 0.5000  12 I 3.94
I1 0.0000 0.0000 0.5000  2 Si 2.79
I2 0.0000 0.5000 0.0000  2 Si 2.79
I3 0.5000 0.0000 0.0000  2 Si 2.79

For the uncorrected formation energy, the calculation gives 140.1 kJ per mole of atoms. For the energy above the most stable polymorph in this dataset, the calculation gives 189 kJ/mol of formula units. The value obtained for the density of states at the Fermi level is 17.2 states/eV per cell.

4.
First-principles (PBE-GGA) data for a geometry-optimized SiOs2I structure, as listed in Alexandria.

a b c (Å): 5.4516 5.4516 11.8233
angles (deg): 90.00 90.00 90.00
With the nearest neighbours (Å) after each atom.
Positions (direct):
Si1 0.0000 0.0000 0.0000  4 Os 2.31
Si2 0.0000 0.5000 0.2500  4 Os 2.31
Si3 0.5000 0.0000 0.7500  4 Os 2.31
Si4 0.5000 0.5000 0.5000  4 Os 2.31
Os1 0.2086 0.2500 0.1250  2 Si 2.31, 2 I 2.56
Os2 0.2500 0.7086 0.3750  2 Si 2.31, 2 I 2.56
Os3 0.2500 0.7914 0.8750  2 Si 2.31, 2 I 2.56
Os4 0.2914 0.2500 0.6250  2 Si 2.31, 2 I 2.56
Os5 0.7086 0.7500 0.6250  2 Si 2.31, 2 I 2.56
Os6 0.7500 0.2086 0.8750  2 Si 2.31, 2 I 2.56
Os7 0.7500 0.2914 0.3750  2 Si 2.31, 2 I 2.56
Os8 0.7914 0.7500 0.1250  2 Si 2.31, 2 I 2.56
I1 0.0000 0.0000 0.5000  4 Os 2.56
I2 0.0000 0.5000 0.7500  4 Os 2.56
I3 0.5000 0.0000 0.2500  4 Os 2.56
I4 0.5000 0.5000 0.0000  4 Os 2.56

For the uncorrected formation energy, the calculation gives 96.1 kJ per mole of atoms. For the energy above the most stable polymorph in this dataset, the calculation gives 0 kJ/mol of formula units. The value obtained for the density of states at the Fermi level is 6.2 states/eV per cell.

5.
First-principles (PBE-GGA) data for a geometry-optimized SiOsI2 structure, as listed in Alexandria.

a b c (Å): 6.5594 6.5594 11.7566
angles (deg): 90.00 90.00 90.00
With the nearest neighbours (Å) after each atom.
Positions (direct):
Si1 0.0000 0.0000 0.0000  4 I 2.95
Si2 0.0000 0.5000 0.2500  4 I 2.95
Si3 0.5000 0.0000 0.7500  4 I 2.95
Si4 0.5000 0.5000 0.5000  4 I 2.95
Os1 0.0000 0.0000 0.5000  4 I 2.57
Os2 0.0000 0.5000 0.7500  4 I 2.57
Os3 0.5000 0.0000 0.2500  4 I 2.57
Os4 0.5000 0.5000 0.0000  4 I 2.57
I1 0.2007 0.2500 0.6250  2 Os 2.57
I2 0.2500 0.7007 0.8750  2 Os 2.57
I3 0.2500 0.7993 0.3750  2 Os 2.57
I4 0.2993 0.2500 0.1250  2 Os 2.57
I5 0.7007 0.7500 0.1250  2 Os 2.57
I6 0.7500 0.2007 0.3750  2 Os 2.57
I7 0.7500 0.2993 0.8750  2 Os 2.57
I8 0.7993 0.7500 0.6250  2 Os 2.57

For the uncorrected formation energy, the calculation gives 127.3 kJ per mole of atoms. For the energy above the most stable polymorph in this dataset, the calculation gives 0 kJ/mol of formula units. The value obtained for the density of states at the Fermi level is 15.0 states/eV per cell.

6.
First-principles (PBE-GGA) data for a geometry-optimized SiOs2I structure, as listed in Alexandria.

a b c (Å): 6.3665 6.3665 6.3665
angles (deg): 90.00 90.00 90.00
With the nearest neighbours (Å) after each atom.
Positions (direct):
Si1 0.0000 0.0000 0.0000  8 Os 2.76
Si2 0.0000 0.5000 0.5000  8 Os 2.76
Si3 0.5000 0.0000 0.5000  8 Os 2.76
Si4 0.5000 0.5000 0.0000  8 Os 2.76
Os1 0.2500 0.2500 0.2500  4 I 2.76, 4 Si 2.76
Os2 0.2500 0.2500 0.7500  4 I 2.76, 4 Si 2.76
Os3 0.2500 0.7500 0.2500  4 I 2.76, 4 Si 2.76
Os4 0.2500 0.7500 0.7500  4 I 2.76, 4 Si 2.76
Os5 0.7500 0.2500 0.2500  4 I 2.76, 4 Si 2.76
Os6 0.7500 0.2500 0.7500  4 I 2.76, 4 Si 2.76
Os7 0.7500 0.7500 0.2500  4 I 2.76, 4 Si 2.76
Os8 0.7500 0.7500 0.7500  4 I 2.76, 4 Si 2.76
I1 0.0000 0.0000 0.5000  8 Os 2.76
I2 0.0000 0.5000 0.0000  8 Os 2.76
I3 0.5000 0.0000 0.0000  8 Os 2.76
I4 0.5000 0.5000 0.5000  8 Os 2.76

For the uncorrected formation energy, the calculation gives 106.0 kJ per mole of atoms. For the energy above the most stable polymorph in this dataset, the calculation gives 40 kJ/mol of formula units. The value obtained for the density of states at the Fermi level is 14.8 states/eV per cell.

7.
First-principles (PBE-GGA) data for a geometry-optimized SiOsI3 structure, as listed in Alexandria.

a b c (Å): 5.3543 5.3543 5.3543
angles (deg): 90.00 90.00 90.00
With the nearest neighbours (Å) after each atom.
Positions (direct):
Si1 0.0000 0.0000 0.0000  12 I 3.79
Os1 0.5000 0.5000 0.5000  6 I 2.68
I1 0.0000 0.5000 0.5000  2 Os 2.68
I2 0.5000 0.0000 0.5000  2 Os 2.68
I3 0.5000 0.5000 0.0000  2 Os 2.68

For the uncorrected formation energy, the calculation gives 102.2 kJ per mole of atoms. For the energy above the most stable polymorph in this dataset, the calculation gives 0 kJ/mol of formula units. The value obtained for the density of states at the Fermi level is 6.0 states/eV per cell.

8.
First-principles (PBE-GGA) data for a geometry-optimized SiOsI2 structure, as listed in Alexandria.

a b c (Å): 6.9868 6.9868 6.9868
angles (deg): 90.00 90.00 90.00
With the nearest neighbours (Å) after each atom.
Positions (direct):
Si1 0.0000 0.0000 0.0000  8 I 3.03
Si2 0.0000 0.5000 0.5000  8 I 3.03
Si3 0.5000 0.0000 0.5000  8 I 3.03
Si4 0.5000 0.5000 0.0000  8 I 3.03
Os1 0.0000 0.0000 0.5000  8 I 3.03
Os2 0.0000 0.5000 0.0000  8 I 3.03
Os3 0.5000 0.0000 0.0000  8 I 3.03
Os4 0.5000 0.5000 0.5000  8 I 3.03
I1 0.2500 0.2500 0.2500  4 Os 3.03, 4 Si 3.03
I2 0.2500 0.2500 0.7500  4 Os 3.03, 4 Si 3.03
I3 0.2500 0.7500 0.2500  4 Os 3.03, 4 Si 3.03
I4 0.2500 0.7500 0.7500  4 Os 3.03, 4 Si 3.03
I5 0.7500 0.2500 0.2500  4 Os 3.03, 4 Si 3.03
I6 0.7500 0.2500 0.7500  4 Os 3.03, 4 Si 3.03
I7 0.7500 0.7500 0.2500  4 Os 3.03, 4 Si 3.03
I8 0.7500 0.7500 0.7500  4 Os 3.03, 4 Si 3.03

For the uncorrected formation energy, the calculation gives 138.5 kJ per mole of atoms. For the energy above the most stable polymorph in this dataset, the calculation gives 45 kJ/mol of formula units. The value obtained for the density of states at the Fermi level is 16.7 states/eV per cell.

9.
First-principles (PBE-GGA) data for a geometry-optimized Si3OsI structure, as listed in Alexandria.

a b c (Å): 4.7191 4.7191 4.7191
angles (deg): 90.00 90.00 90.00
With the nearest neighbours (Å) after each atom.
Positions (direct):
Si1 0.0000 0.0000 0.5000  2 Os 2.36
Si2 0.0000 0.5000 0.0000  2 Os 2.36
Si3 0.5000 0.0000 0.0000  2 Os 2.36
Os1 0.0000 0.0000 0.0000  6 Si 2.36
I1 0.5000 0.5000 0.5000  12 Si 3.34

For the uncorrected formation energy, the calculation gives 23.5 kJ per mole of atoms. For the energy above the most stable polymorph in this dataset, the calculation gives 0 kJ/mol of formula units. The value obtained for the density of states at the Fermi level is 1.0 states/eV per cell.

10.
First-principles (PBE-GGA) data for a geometry-optimized SiSnOsI2 structure, as listed in Alexandria.

a b c (Å): 5.9169 5.9169 5.3764
angles (deg): 90.00 90.00 90.00
With the nearest neighbours (Å) after each atom.
Positions (direct):
Si1 0.0000 0.0000 0.0000  2 Sn 2.69
Sn1 0.0000 0.0000 0.5000  2 Si 2.69, 4 I 2.96
Os1 0.5000 0.5000 0.0000  8 I 4.00, 4 Si 4.18
I1 0.0000 0.5000 0.5000  2 Sn 2.96
I2 0.5000 0.0000 0.5000  2 Sn 2.96

For the uncorrected formation energy, the calculation gives 172.5 kJ per mole of atoms. The value obtained for the density of states at the Fermi level is 5.6 states/eV per cell.

11.
First-principles (PBE-GGA) data for a geometry-optimized TaSi2OsI structure, as listed in Alexandria.

a b c (Å): 4.8849 4.8849 4.9808
angles (deg): 90.00 90.00 90.00
With the nearest neighbours (Å) after each atom.
Positions (direct):
Ta1 0.0000 0.0000 0.0000  4 Si 2.44, 2 Os 2.49
Si1 0.0000 0.5000 0.0000  2 Ta 2.44
Si2 0.5000 0.0000 0.0000  2 Ta 2.44
Os1 0.0000 0.0000 0.5000  2 Ta 2.49
I1 0.5000 0.5000 0.5000  4 Os 3.45, 8 Si 3.49

For the uncorrected formation energy, the calculation gives 128.4 kJ per mole of atoms. The value obtained for the density of states at the Fermi level is 4.6 states/eV per cell.

12.
First-principles (PBE-GGA) data for a geometry-optimized TaSiOs2I structure, as listed in Alexandria.

a b c (Å): 4.8763 4.8763 4.9283
angles (deg): 90.00 90.00 90.00
With the nearest neighbours (Å) after each atom.
Positions (direct):
Ta1 0.0000 0.0000 0.0000  4 Os 2.44, 2 Si 2.46
Si1 0.0000 0.0000 0.5000  2 Ta 2.46
Os1 0.0000 0.5000 0.0000  2 Ta 2.44
Os2 0.5000 0.0000 0.0000  2 Ta 2.44
I1 0.5000 0.5000 0.5000  4 Si 3.45, 8 Os 3.47

For the uncorrected formation energy, the calculation gives 181.0 kJ per mole of atoms. The value obtained for the density of states at the Fermi level is 5.8 states/eV per cell.

13.
First-principles (PBE-GGA) data for a geometry-optimized SiTe2OsI structure, as listed in Alexandria.

a b c (Å): 5.2538 5.2538 5.3182
angles (deg): 90.00 90.00 90.00
With the nearest neighbours (Å) after each atom.
Positions (direct):
Si1 0.0000 0.0000 0.0000  4 Te 2.63, 2 I 2.66
Te1 0.0000 0.5000 0.0000  2 Si 2.63
Te2 0.5000 0.0000 0.0000  2 Si 2.63
Os1 0.5000 0.5000 0.5000  4 I 3.72, 8 Te 3.74
I1 0.0000 0.0000 0.5000  2 Si 2.66

For the uncorrected formation energy, the calculation gives 147.8 kJ per mole of atoms. For the energy above the most stable polymorph in this dataset, the calculation gives 254 kJ/mol of formula units. The value obtained for the density of states at the Fermi level is 5.4 states/eV per cell.

14.
First-principles (PBE-GGA) data for a geometry-optimized SiTe2OsI structure, as listed in Alexandria.

a b c (Å): 5.1532 5.1532 5.5428
angles (deg): 90.00 90.00 90.00
With the nearest neighbours (Å) after each atom.
Positions (direct):
Si1 0.0000 0.0000 0.0000  4 I 3.64, 8 Te 3.78
Te1 0.0000 0.5000 0.5000  2 Os 2.58
Te2 0.5000 0.0000 0.5000  2 Os 2.58
Os1 0.5000 0.5000 0.5000  4 Te 2.58, 2 I 2.77
I1 0.5000 0.5000 0.0000  2 Os 2.77

For the uncorrected formation energy, the calculation gives 97.0 kJ per mole of atoms. For the energy above the most stable polymorph in this dataset, the calculation gives 0 kJ/mol of formula units. The value obtained for the density of states at the Fermi level is 7.5 states/eV per cell.